No. 1
Compound: NaLi2H6Ir
Source: Alexandria
Functional: PBE
Structure: relaxed

## Properties
E_tot: -3.839 eV/atom
Size of the total moment: 0.00 μB per formula unit

a b c (Å): 4.7833 4.7833 5.7753
angles (deg): 90.00 90.00 120.00
With the nearest neighbours (Å) after each atom.
Fractional positions:
Na: 0.0000 0.0000 0.0000  6 H 2.32
Li: 0.3333 0.6667 0.4397  3 H 1.95
Li: 0.6667 0.3333 0.5603  3 H 1.95
H: 0.1627 0.3254 0.6734  1 Ir 1.68
H: 0.1627 0.8373 0.6734  1 Ir 1.68
H: 0.3254 0.1627 0.3266  1 Ir 1.68
H: 0.6746 0.8373 0.6734  1 Ir 1.68
H: 0.8373 0.1627 0.3266  1 Ir 1.68
H: 0.8373 0.6746 0.3266  1 Ir 1.68
Ir: 0.0000 0.0000 0.5000  6 H 1.68

No. 2
Compound: CaPrGdTh
Source: Alexandria
Functional: PBE
Structure: relaxed

## Properties
ΔE_f: 0.209 eV/atom
Size of the total moment: 8.63 μB per formula unit

a b c (Å): 8.2341 8.2341 8.2341
angles (deg): 90.00 90.00 90.00
With the nearest neighbours (Å) after each atom.
Fractional positions:
Ca: 0.0000 0.0000 0.0000  4 Gd 3.57, 4 Pr 3.57
Ca: 0.0000 0.5000 0.5000  4 Gd 3.57, 4 Pr 3.57
Ca: 0.5000 0.0000 0.5000  4 Gd 3.57, 4 Pr 3.57
Ca: 0.5000 0.5000 0.0000  4 Gd 3.57, 4 Pr 3.57
Pr: 0.2500 0.2500 0.7500  4 Th 3.57, 4 Ca 3.57
Pr: 0.2500 0.7500 0.2500  4 Th 3.57, 4 Ca 3.57
Pr: 0.7500 0.2500 0.2500  4 Th 3.57, 4 Ca 3.57
Pr: 0.7500 0.7500 0.7500  4 Ca 3.57, 4 Th 3.57
Gd: 0.2500 0.2500 0.2500  4 Th 3.57, 4 Ca 3.57
Gd: 0.2500 0.7500 0.7500  4 Th 3.57, 4 Ca 3.57
Gd: 0.7500 0.2500 0.7500  4 Th 3.57, 4 Ca 3.57
Gd: 0.7500 0.7500 0.2500  4 Th 3.57, 4 Ca 3.57
Th: 0.0000 0.0000 0.5000  4 Gd 3.57, 4 Pr 3.57
Th: 0.0000 0.5000 0.0000  4 Gd 3.57, 4 Pr 3.57
Th: 0.5000 0.0000 0.0000  4 Gd 3.57, 4 Pr 3.57
Th: 0.5000 0.5000 0.5000  4 Gd 3.57, 4 Pr 3.57

No. 3
Compound: MnTl2Mo
Source: Alexandria
Functional: PBE
Structure: relaxed

## Properties
ΔE_f: 0.748 eV/atom
E above lowest polymorph: 0.298 eV per atom
Size of the total moment: 4.25 μB per formula unit

a b c (Å): 3.0145 3.0145 8.5380
angles (deg): 90.00 90.00 90.00
With the nearest neighbours (Å) after each atom.
Fractional positions:
Mn: 0.0000 0.0000 0.0000  8 Tl 2.99, 4 Mn 3.01
Tl: 0.5000 0.5000 0.2457  4 Mn 2.99, 4 Tl 3.01, 4 Mo 3.04
Tl: 0.5000 0.5000 0.7543  4 Mn 2.99, 4 Tl 3.01, 4 Mo 3.04
Mo: 0.0000 0.0000 0.5000  4 Mo 3.01, 8 Tl 3.04

No. 4
Compound: Be2InBr
Source: Alexandria
Functional: PBE
Structure: relaxed

## Properties
Formation energy from raw total energies: 0.5198 eV per atom
E above lowest polymorph: 0.267 eV per atom
Size of the total moment: 0.00 μB per formula unit

a b c (Å): 5.8683 5.8683 10.0007
angles (deg): 90.00 90.00 90.00
With the nearest neighbours (Å) after each atom.
Fractional positions:
Be: 0.2348 0.2500 0.1250  2 Br 2.37, 2 In 2.48
Be: 0.2500 0.7348 0.3750  2 Br 2.37, 2 In 2.48
Be: 0.2500 0.7652 0.8750  2 Br 2.37, 2 In 2.48
Be: 0.2652 0.2500 0.6250  2 Br 2.37, 2 In 2.48
Be: 0.7348 0.7500 0.6250  2 Br 2.37, 2 In 2.48
Be: 0.7500 0.2348 0.8750  2 Br 2.37, 2 In 2.48
Be: 0.7500 0.2652 0.3750  2 Br 2.37, 2 In 2.48
Be: 0.7652 0.7500 0.1250  2 Br 2.37, 2 In 2.48
In: 0.0000 0.0000 0.5000  4 Be 2.48
In: 0.0000 0.5000 0.7500  4 Be 2.48
In: 0.5000 0.0000 0.2500  4 Be 2.48
In: 0.5000 0.5000 0.0000  4 Be 2.48
Br: 0.0000 0.0000 0.0000  4 Be 2.37
Br: 0.0000 0.5000 0.2500  4 Be 2.37
Br: 0.5000 0.0000 0.7500  4 Be 2.37
Br: 0.5000 0.5000 0.5000  4 Be 2.37

No. 5
Compound: Th3Sc4
Source: Alexandria
Functional: PBE
Structure: relaxed

## Properties
ΔE_f: 0.030 eV/atom
E above lowest polymorph: 0.000 eV per atom
Size of the total moment: 0.00 μB per formula unit

a b c (Å): 10.4231 4.8823 7.7329
angles (deg): 90.00 99.21 90.00
With the nearest neighbours (Å) after each atom.
Fractional positions:
Th: 0.0000 0.0000 0.0000  8 Sc 3.36-3.43, 4 Th 3.47
Th: 0.0725 0.5000 0.7125  9 Sc 3.34-3.46, 3 Th 3.39-3.47
Th: 0.4275 0.0000 0.2875  9 Sc 3.34-3.46, 3 Th 3.39-3.47
Th: 0.5000 0.5000 0.0000  8 Sc 3.36-3.43, 4 Th 3.47
Th: 0.5725 0.0000 0.7125  9 Sc 3.34-3.46, 3 Th 3.39-3.47
Th: 0.9275 0.5000 0.2875  9 Sc 3.34-3.46, 3 Th 3.39-3.47
Sc: 0.1418 0.0000 0.4324  6 Sc 3.29-3.45, 6 Th 3.35-3.43
Sc: 0.2143 0.5000 0.1481  7 Th 3.34-3.46, 5 Sc 3.35-3.51
Sc: 0.2857 0.0000 0.8519  7 Th 3.34-3.46, 5 Sc 3.35-3.51
Sc: 0.3582 0.5000 0.5676  6 Sc 3.29-3.45, 6 Th 3.35-3.43
Sc: 0.6418 0.5000 0.4324  6 Sc 3.29-3.45, 6 Th 3.35-3.43
Sc: 0.7143 0.0000 0.1481  7 Th 3.34-3.46, 5 Sc 3.35-3.51
Sc: 0.7857 0.5000 0.8519  7 Th 3.34-3.46, 5 Sc 3.35-3.51
Sc: 0.8582 0.0000 0.5676  6 Sc 3.29-3.45, 6 Th 3.35-3.43

size of the total moment of number 1 (NaLi2H6Ir)? 0.00 μB per formula unit

What is the size of the total moment in the second record? 8.63 μB per formula unit

The highest size of the total moment belongs to which entry? CaPrGdTh